(1)
Density functional theory data (PBE) for an optimized crystal structure of TbPm4Er2Mg. Values from VASP.

Computed properties:
symmetry	No. 123
E_tot	-4.287	eV per atom
E_form	0.0076	eV/atom

```
&SYSTEM
  ibrav = 0, nat = 8, ntyp = 4
/
ATOMIC_SPECIES
Tb 158.93 Tb.upf
Pm 145.00 Pm.upf
Er 167.26 Er.upf
Mg 24.30 Mg.upf
ATOMIC_POSITIONS crystal
Tb 0.000 0.000 0.000
Pm 0.000 0.500 0.255
Pm 0.000 0.500 0.745
Pm 0.500 0.000 0.255
Pm 0.500 0.000 0.745
Er 0.000 0.000 0.500
Er 0.500 0.500 0.000
Mg 0.500 0.500 0.500
CELL_PARAMETERS angstrom
5.049 0.000 0.000
0.000 5.049 0.000
0.000 0.000 9.940
```

=====

(2)
Density functional theory data (PBE) for an optimized crystal structure of LiPrPdRh. Values from VASP.

Computed properties:
symmetry	No. 216
E_tot	-5.244	eV per atom
E_form	-0.4351	eV/atom

```
&SYSTEM
  ibrav = 0, nat = 4, ntyp = 4
/
ATOMIC_SPECIES
Li 6.94 Li.upf
Pr 140.91 Pr.upf
Pd 106.42 Pd.upf
Rh 102.91 Rh.upf
ATOMIC_POSITIONS crystal
Li 0.000 0.000 0.000
Pr 0.500 0.500 0.500
Pd 0.250 0.250 0.250
Rh 0.750 0.750 0.750
CELL_PARAMETERS angstrom
0.000 3.360 3.360
3.360 0.000 3.360
3.360 3.360 0.000
```

=====

(3)
Density functional theory data (PBE) for an optimized crystal structure of KLi5. Values from VASP.

Computed properties:
symmetry	No. 8
relative energy among the computed polymorphs	0.08	eV/f.u.
E_tot	-1.671	eV per atom
E_form	0.1064	eV/atom

```
&SYSTEM
  ibrav = 0, nat = 6, ntyp = 2
/
ATOMIC_SPECIES
K 39.10 K.upf
Li 6.94 Li.upf
ATOMIC_POSITIONS crystal
K 0.000 0.000 0.000
Li 0.000 0.000 0.499
Li 0.304 0.304 0.203
Li 0.334 0.334 0.605
Li 0.667 0.667 0.394
Li 0.696 0.696 0.797
CELL_PARAMETERS angstrom
6.476 -1.706 0.000
6.476 1.706 0.000
-2.351 0.000 7.453
```

=====

no.,magnetization (μB per cell)
1,0.00
2,0.00
3,0.00